First-principles (GGA-PBE) data for a relaxed LaBe2Cu crystal, as listed in the Alexandria database.

Calculated values
**Calculated volume**: 16.80 Å³/atom
**Total DFT energy (no corrections)**: -16.74 eV per cell
**Magnetization**: 0.00 Bohr magnetons per cell
**Energy relative to the lowest polymorph listed for this composition**: 0.0 meV/atom

a b c (Å): 5.682 5.682 5.682
angles (deg): 39.63 39.63 39.63
Element x y z (fractional)
La  0.000  0.000  0.000
Be  0.189  0.189  0.189
Be  0.811  0.811  0.811
Cu  0.500  0.500  0.500

***

First-principles (GGA-PBE) data for a relaxed LaBe2Cu crystal, as listed in the Alexandria database.

Calculated values
**Calculated volume**: 16.43 Å³/atom
**Total DFT energy (no corrections)**: -15.83 eV per cell
**Magnetization**: 0.00 Bohr magnetons per cell
**Energy relative to the lowest polymorph listed for this composition**: 225.1 meV/atom

a b c (Å): 3.066 3.725 5.951
angles (deg): 90.00 104.67 90.00
Element x y z (fractional)
La  0.000  0.000  0.000
Be  0.647  0.500  0.298
Be  0.734  0.000  0.477
Cu  0.282  0.500  0.571

***

First-principles (GGA-PBE) data for a relaxed LaBeCu2 crystal, as listed in the Alexandria database.

Calculated values
**Calculated volume**: 15.94 Å³/atom
**Total DFT energy (no corrections)**: -16.41 eV per cell
**Magnetization**: 0.00 Bohr magnetons per cell
**Energy relative to the lowest polymorph listed for this composition**: 222.8 meV/atom

a b c (Å): 3.104 2.918 7.041
angles (deg): 90.00 90.27 90.00
Element x y z (fractional)
La  0.000  0.000  0.000
Be  0.000  0.000  0.500
Cu  0.499  0.500  0.671
Cu  0.501  0.500  0.329

***

First-principles (GGA-PBE) data for a relaxed LaBeCu12 crystal, as listed in the Alexandria database.

Calculated values
**Calculated volume**: 13.62 Å³/atom
**Total DFT energy (no corrections)**: -118.34 eV per cell
**Magnetization**: 0.00 Bohr magnetons per cell

a b c (Å): 8.140 8.140 8.140
angles (deg): 60.00 60.00 60.00
Element x y z (fractional)
La  0.250  0.250  0.250
La  0.750  0.750  0.750
Be  0.000  0.000  0.000
Be  0.500  0.500  0.500
Cu  0.062  0.292  0.708
Cu  0.062  0.708  0.938
Cu  0.062  0.938  0.292
Cu  0.208  0.438  0.792
Cu  0.208  0.562  0.438
Cu  0.208  0.792  0.562
Cu  0.292  0.062  0.938
Cu  0.292  0.708  0.062
Cu  0.292  0.938  0.708
Cu  0.438  0.208  0.562
Cu  0.438  0.562  0.792
Cu  0.438  0.792  0.208
Cu  0.562  0.208  0.792
Cu  0.562  0.438  0.208
Cu  0.562  0.792  0.438
Cu  0.708  0.062  0.292
Cu  0.708  0.292  0.938
Cu  0.708  0.938  0.062
Cu  0.792  0.208  0.438
Cu  0.792  0.438  0.562
Cu  0.792  0.562  0.208
Cu  0.938  0.062  0.708
Cu  0.938  0.292  0.062
Cu  0.938  0.708  0.292

***

First-principles (GGA-PBE) data for a relaxed LaBeCu2 crystal, as listed in the Alexandria database.

Calculated values
**Calculated volume**: 16.41 Å³/atom
**Total DFT energy (no corrections)**: -16.46 eV per cell
**Magnetization**: 0.00 Bohr magnetons per cell
**Energy relative to the lowest polymorph listed for this composition**: 210.9 meV/atom

a b c (Å): 3.022 3.222 6.742
angles (deg): 90.00 90.00 90.00
Element x y z (fractional)
La  0.000  0.000  0.000
Be  0.500  0.500  0.664
Cu  0.000  0.000  0.526
Cu  0.500  0.500  0.328

***

First-principles (GGA-PBE) data for a relaxed La2BeCu2 crystal, as listed in the Alexandria database.

Calculated values
**Calculated volume**: 22.25 Å³/atom
**Total DFT energy (no corrections)**: -43.07 eV per cell
**Magnetization**: 0.00 Bohr magnetons per cell

a b c (Å): 7.398 7.398 4.065
angles (deg): 90.00 90.00 90.00
Element x y z (fractional)
La  0.183  0.317  0.000
La  0.317  0.817  0.000
La  0.683  0.183  0.000
La  0.817  0.683  0.000
Be  0.000  0.000  0.500
Be  0.500  0.500  0.500
Cu  0.120  0.620  0.500
Cu  0.380  0.120  0.500
Cu  0.620  0.880  0.500
Cu  0.880  0.380  0.500

***

First-principles (GGA-PBE) data for a relaxed LaBeCu2 crystal, as listed in the Alexandria database.

Calculated values
**Calculated volume**: 18.44 Å³/atom
**Total DFT energy (no corrections)**: -15.19 eV per cell
**Magnetization**: 0.00 Bohr magnetons per cell
**Energy relative to the lowest polymorph listed for this composition**: 527.1 meV/atom

a b c (Å): 3.562 4.545 4.557
angles (deg): 90.00 90.00 90.00
Element x y z (fractional)
La  0.000  0.000  0.000
Be  0.000  0.500  0.500
Cu  0.500  0.000  0.500
Cu  0.500  0.500  0.000

***

First-principles (GGA-PBE) data for a relaxed La3BeCu crystal, as listed in the Alexandria database.

Calculated values
**Calculated volume**: 31.44 Å³/atom
**Total DFT energy (no corrections)**: -20.09 eV per cell
**Magnetization**: 0.00 Bohr magnetons per cell
**Energy relative to the lowest polymorph listed for this composition**: 0.0 meV/atom

a b c (Å): 5.397 5.397 5.397
angles (deg): 90.00 90.00 90.00
Element x y z (fractional)
La  0.000  0.000  0.500
La  0.000  0.500  0.000
La  0.500  0.000  0.000
Be  0.000  0.000  0.000
Cu  0.500  0.500  0.500